A plane-wave DFT calculation with PBE was carried out for an optimized crystal structure of K2ReAg.

Output
SG = No. 122
formation energy from the elements = 5.99 eV/f.u.
energy above the lowest structure with this stoichiometry = 515 meV per atom

Cell: 9.2998 9.2998 7.1943 Å, 49.73 49.73 90.00°
Closest atoms and distances in Å follow each position.
Positions (direct):
K 0.3750 0.4073 0.7500  2 K 2.98, 2 Ag 3.17
K 0.1573 0.6250 0.2500  2 K 2.98, 2 Ag 3.17
K 0.5927 0.1250 0.2500  2 K 2.98, 2 Ag 3.17
K 0.8750 0.8427 0.7500  2 K 2.98, 2 Ag 3.17
Re 0.0000 0.0000 0.0000  2 Ag 2.92
Re 0.7500 0.2500 0.5000  2 Ag 2.92
Ag 0.5000 0.5000 0.0000  2 Re 2.92, 4 K 3.17
Ag 0.2500 0.7500 0.5000  2 Re 2.92, 4 K 3.17

***

A plane-wave DFT calculation with PBE was carried out for an optimized crystal structure of BeNbRh.

Output
SG = No. 8
formation energy from the elements = -1.12 eV/f.u.
energy above the lowest structure with this stoichiometry = 101 meV per atom

Cell: 6.9394 3.1161 9.3297 Å, 90.00 126.50 90.00°
Closest atoms and distances in Å follow each position.
Positions (direct):
Be 0.7340 0.0000 0.2649  1 Be 2.09, 2 Rh 2.32
Be 0.0492 0.0000 0.5254  1 Be 2.09, 2 Rh 2.26
Be 0.7340 0.5000 0.7649  1 Be 2.09, 2 Rh 2.32
Be 0.0492 0.5000 0.0254  1 Be 2.09, 2 Rh 2.26
Rh 0.3189 0.5000 0.7153  2 Be 2.26
Rh 0.0112 0.0000 0.8082  4 Be 2.32-2.44
Rh 0.3189 0.0000 0.2153  2 Be 2.26
Rh 0.0112 0.5000 0.3082  4 Be 2.32-2.44
Nb 0.7425 0.5000 0.4854  5 Be 2.48-2.64
Nb 0.4294 0.0000 0.5356  3 Be 2.47-2.58, 3 Rh 2.61-2.71
Nb 0.7425 0.0000 0.9854  5 Be 2.48-2.64
Nb 0.4294 0.5000 0.0356  3 Be 2.47-2.58, 3 Rh 2.61-2.71

***

A plane-wave DFT calculation with PBE was carried out for an optimized crystal structure of LaY2Tl2Zn2.

Output
SG = No. 166
formation energy from the elements = -1.48 eV/f.u.

Cell: 4.8045 4.8045 9.6989 Å, 75.66 75.66 60.00°
Closest atoms and distances in Å follow each position.
Positions (direct):
Zn 0.4225 0.4225 0.7324  3 Tl 2.82, 3 Y 3.01
Zn 0.5775 0.5775 0.2676  3 Tl 2.82, 3 Y 3.01
Y 0.1307 0.1307 0.6078  3 Zn 3.01, 3 Tl 3.24
Y 0.8693 0.8693 0.3922  3 Zn 3.01, 3 Tl 3.24
Tl 0.7375 0.7375 0.7875  3 Zn 2.82
Tl 0.2625 0.2625 0.2125  3 Zn 2.82
La 0.0000 0.0000 0.0000  6 Tl 3.41, 2 Y 3.64, 6 Zn 3.73

***

A plane-wave DFT calculation with PBE was carried out for an optimized crystal structure of Mn2FeAu.

Output
SG = No. 119
formation energy from the elements = 0.89 eV/f.u.
energy above the lowest structure with this stoichiometry = 81 meV per atom

Cell: 4.8643 4.8643 3.7772 Å, 67.14 67.14 45.81°
Closest atoms and distances in Å follow each position.
Positions (direct):
Fe 0.2499 0.2499 0.2501  8 Mn 2.67-2.78, 4 Au 2.77-2.78
Mn 0.0001 0.0001 0.9999  4 Au 2.67, 4 Fe 2.77-2.78, 4 Mn 2.77-2.78
Mn 0.7500 0.7500 0.7500  4 Fe 2.67, 4 Au 2.77-2.78, 4 Mn 2.77-2.78
Au 0.4999 0.4999 0.5001  8 Mn 2.67-2.78, 4 Fe 2.77-2.78

***

A plane-wave DFT calculation with PBE was carried out for an optimized crystal structure of LaP2Pt.

Output
SG = No. 122
formation energy from the elements = -3.24 eV/f.u.
energy above the lowest structure with this stoichiometry = 197 meV per atom

Cell: 4.5763 4.5763 8.9711 Å, 75.22 75.22 90.00°
Closest atoms and distances in Å follow each position.
Positions (direct):
Pt 0.0000 0.0000 0.0000  4 P 2.42
Pt 0.7500 0.2500 0.5000  4 P 2.42
La 0.5000 0.5000 0.0000  4 P 3.03, 4 Pt 3.24
La 0.2500 0.7500 0.5000  4 P 3.03, 4 Pt 3.24
P 0.3750 0.2166 0.7500  2 Pt 2.42, 2 P 2.44
P 0.8750 0.0334 0.7500  2 Pt 2.42, 2 P 2.44
P 0.9666 0.6250 0.2500  2 Pt 2.42, 2 P 2.44
P 0.7834 0.1250 0.2500  2 Pt 2.42, 2 P 2.44

***

A plane-wave DFT calculation with PBE was carried out for an optimized crystal structure of Tm3PaS4.

Output
SG = No. 65
ΔE_f (raw) = -1.831 eV/atom

Cell: 3.8185 6.6959 6.6958 Å, 71.08 90.00 90.00°
Closest atoms and distances in Å follow each position.
Positions (direct):
Pa 0.5000 0.5001 0.0000  6 S 2.75-2.76
S 0.4999 0.7528 0.2527  5 Tm 2.69-2.73, 1 Pa 2.75
S 0.5000 0.2474 0.7473  5 Tm 2.69-2.73, 1 Pa 2.75
S 0.0000 0.2437 0.2564  4 Tm 2.69-2.72, 2 Pa 2.76
S 0.0000 0.7566 0.7435  4 Tm 2.69-2.72, 2 Pa 2.76
Tm 0.0000 0.5001 0.5000  6 S 2.72-2.73
Tm 0.5000 0.0001 0.5000  6 S 2.69
Tm 0.0000 0.0001 0.0000  6 S 2.72-2.73

***

| no. | V (Å³/atom) | VASP energy (Ha/atom) |
| --- | --- | --- |
| 1 | 31.55 | -0.106 |
| 2 | 13.52 | -0.273 |
| 3 | 26.54 | -0.140 |
| 4 | 14.53 | -0.268 |
| 5 | 21.90 | -0.230 |
| 6 | 20.24 | -0.248 |